# 1
The following is a DFT calculation (PBE) of GaAg5Sn after structural relaxation.

Its density of states at the Fermi level is 1.8 states/eV/f.u. The uncorrected energy is -21.00 eV/f.u. As for the excess energy over the best structure of this formula in the dataset: 3.6 kJ/mol of atoms. Its energy of formation from the pure elements is 0.3 eV/f.u.

The space group is Cmcm (No. 63) and the conventional cell measures 8.446, 5.931 and 10.952 Å, with angles of 90.00, 90.00 and 90.00 degrees. The inequivalent atoms are Ga at (0.000, 0.000, 0.000), Ag at (0.000, 0.108, 0.250), Ag at (0.232, 0.367, 0.114) and Sn at (0.000, 0.375, 0.750).



# 2
The following is a DFT calculation (PBE) of Ga2AgSn after structural relaxation.

Its density of states at the Fermi level is 1.7 states/eV/f.u. The uncorrected energy is -12.69 eV/f.u. Its energy of formation from the pure elements is 0.2 eV/f.u.

The space group is C2/c (No. 15) and the conventional cell measures 6.257, 11.705 and 5.589 Å, with angles of 90.00, 122.17 and 90.00 degrees. The inequivalent atoms are Ga at (0.063, 0.209, 0.031), Ag at (0.000, 0.007, 0.250) and Sn at (0.000, 0.430, 0.250).



# 3
The following is a DFT calculation (PBE) of Ga3Ag2Sn after structural relaxation.

Its density of states at the Fermi level is 2.0 states/eV/f.u. The uncorrected energy is -18.58 eV/f.u. Its energy of formation from the pure elements is 0.2 eV/f.u.

The space group is Cmcm (No. 63) and the conventional cell measures 9.586, 9.002 and 5.566 Å, with angles of 90.00, 90.00 and 90.00 degrees. The inequivalent atoms are Ga at (0.000, 0.028, 0.250), Ga at (0.144, 0.251, 0.750), Ag at (0.237, 0.500, 0.000) and Sn at (0.000, 0.346, 0.250).



# 4
The following is a DFT calculation (PBE) of Ga3Ag5Sn12 after structural relaxation.

Its density of states at the Fermi level is 10.6 states/eV/f.u. The uncorrected energy is -68.27 eV/f.u. Its energy of formation from the pure elements is 3.1 eV/f.u.

The space group is Ia-3d (No. 230) and the conventional cell measures 16.527, 16.527 and 16.527 Å, with angles of 90.00, 90.00 and 90.00 degrees. The inequivalent atoms are Ga at (0.000, 0.250, 0.125), Ag at (0.000, 0.000, 0.000), Ag at (0.000, 0.250, 0.375) and Sn at (0.021, 0.081, 0.650).